*w*
AlNi3Rh, optimized geometry, DFT PBE-GGA; calculated volume = 91 Å³/cell; total moment = 3.0 μB per cell; space group = No. 221
1.0
4.500 0.000 0.000
0.000 4.500 0.000
0.000 0.000 4.500
Al Ni Rh
1 3 1
direct
0.000 0.000 0.000
0.000 0.500 0.500
0.500 0.000 0.500
0.500 0.500 0.000
0.500 0.500 0.500



*x*
AlNi3Rh, optimized geometry, DFT PBE-GGA; calculated volume = 73 Å³/cell; total moment = 0.0 μB per cell; space group = No. 221
1.0
4.187 0.000 0.000
0.000 4.187 0.000
0.000 0.000 4.187
Al Ni Rh
1 3 1
direct
0.000 0.000 0.000
0.000 0.000 0.500
0.000 0.500 0.000
0.500 0.000 0.000
0.500 0.500 0.500



Last place for stability: *w*



*w*
Al2NiRu, optimized geometry, DFT PBE-GGA; calculated volume = 53 Å³/cell; total moment = 0.0 μB per cell; space group = No. 44
1.0
-1.539 1.983 4.310
1.539 -1.983 4.310
1.539 1.983 -4.310
Al Ni Ru
2 1 1
direct
0.000 0.000 0.000
0.730 0.230 0.500
0.229 0.729 0.500
0.480 0.480 0.000



*x*
Al2NiRu, optimized geometry, DFT PBE-GGA; calculated volume = 51 Å³/cell; total moment = 0.0 μB per cell; space group = No. 225
1.0
0.000 2.950 2.950
2.950 0.000 2.950
2.950 2.950 0.000
Al Ni Ru
2 1 1
direct
0.250 0.250 0.250
0.750 0.750 0.750
0.000 0.000 0.000
0.500 0.500 0.500



*y*
Al2NiRu, optimized geometry, DFT PBE-GGA; calculated volume = 51 Å³/cell; total moment = 0.0 μB per cell; space group = No. 123
1.0
4.113 0.000 0.000
0.000 4.113 0.000
0.000 0.000 3.035
Al Ni Ru
2 1 1
direct
0.000 0.500 0.000
0.500 0.000 0.000
0.000 0.000 0.500
0.500 0.500 0.500



Last place for stability: *w*



*w*
Al2NiRu, optimized geometry, DFT PBE-GGA; calculated volume = 114 Å³/cell; total moment = 0.0 μB per cell; space group = No. 122
1.0
-3.240 3.240 2.725
3.240 -3.240 2.725
3.240 3.240 -2.725
Al Ni Ru
4 2 2
direct
0.103 0.125 0.478
0.375 0.897 0.022
0.647 0.625 0.522
0.875 0.353 0.978
0.000 0.000 0.000
0.750 0.250 0.500
0.250 0.750 0.500
0.500 0.500 0.000



*x*
Al2NiRu, optimized geometry, DFT PBE-GGA; calculated volume = 53 Å³/cell; total moment = 0.0 μB per cell; space group = No. 8
1.0
4.555 -1.490 0.000
4.555 1.490 0.000
-1.337 0.000 3.899
Al Ni Ru
2 1 1
direct
0.000 0.000 0.000
0.232 0.232 0.653
0.495 0.495 0.503
0.744 0.744 0.161



*y*
Al2NiRu, optimized geometry, DFT PBE-GGA; calculated volume = 52 Å³/cell; total moment = 0.0 μB per cell; space group = No. 123
1.0
3.004 0.000 0.000
0.000 3.004 0.000
0.000 0.000 5.728
Al Ni Ru
2 1 1
direct
0.000 0.000 0.249
0.000 0.000 0.751
0.500 0.500 0.500
0.500 0.500 0.000



*z*
Al2NiRu, optimized geometry, DFT PBE-GGA; calculated volume = 54 Å³/cell; total moment = 0.0 μB per cell; space group = No. 99
1.0
3.160 0.000 0.000
0.000 3.160 0.000
0.000 0.000 5.398
Al Ni Ru
2 1 1
direct
0.000 0.000 0.000
0.500 0.500 0.300
0.000 0.000 0.493
0.500 0.500 0.795



Last place for stability: *w*



*w*
Al2NiRu, optimized geometry, DFT PBE-GGA; calculated volume = 54 Å³/cell; total moment = 0.0 μB per cell; space group = No. 65
1.0
1.563 -2.249 0.000
1.563 2.249 0.000
0.000 0.000 7.639
Al Ni Ru
2 1 1
direct
0.000 0.000 0.241
0.000 0.000 0.759
0.500 0.500 0.000
0.500 0.500 0.500



*x*
Al2NiRu, optimized geometry, DFT PBE-GGA; calculated volume = 54 Å³/cell; total moment = 0.0 μB per cell; space group = No. 166
1.0
1.408 0.813 7.885
-1.408 0.813 7.885
0.000 -1.625 7.885
Al Ni Ru
2 1 1
direct
0.248 0.248 0.248
0.752 0.752 0.752
0.500 0.500 0.500
0.000 0.000 0.000



Last place for stability: *w*



*w*
Al2NiRu, optimized geometry, DFT PBE-GGA; calculated volume = 55 Å³/cell; total moment = 0.0 μB per cell; space group = No. 160
1.0
1.392 0.804 8.239
-1.392 0.804 8.239
0.000 -1.607 8.239
Al Ni Ru
2 1 1
direct
0.000 0.000 0.000
0.241 0.241 0.241
0.499 0.499 0.499
0.748 0.748 0.748



*x*
Al2NiRu, optimized geometry, DFT PBE-GGA; calculated volume = 53 Å³/cell; total moment = 0.0 μB per cell; space group = No. 216
1.0
0.000 2.989 2.989
2.989 0.000 2.989
2.989 2.989 0.000
Al Ni Ru
2 1 1
direct
0.000 0.000 0.000
0.250 0.250 0.250
0.750 0.750 0.750
0.500 0.500 0.500



Last place for stability: *w*



*w*
AlNiRu3, optimized geometry, DFT PBE-GGA; calculated volume = 83 Å³/cell; total moment = 0.0 μB per cell; space group = No. 221
1.0
4.366 0.000 0.000
0.000 4.366 0.000
0.000 0.000 4.366
Al Ni Ru
1 1 3
direct
0.000 0.000 0.000
0.500 0.500 0.500
0.000 0.000 0.500
0.000 0.500 0.000
0.500 0.000 0.000



*x*
AlNiRu3, optimized geometry, DFT PBE-GGA; calculated volume = 87 Å³/cell; total moment = 5.3 μB per cell; space group = No. 221
1.0
4.437 0.000 0.000
0.000 4.437 0.000
0.000 0.000 4.437
Al Ni Ru
1 1 3
direct
0.000 0.000 0.000
0.500 0.500 0.500
0.000 0.500 0.500
0.500 0.000 0.500
0.500 0.500 0.000



Last place for stability: *w*



*w*
Al4NiRu, optimized geometry, DFT PBE-GGA; calculated volume = 86 Å³/cell; total moment = 0.0 μB per cell; space group = No. 216
1.0
0.000 3.500 3.500
3.500 0.000 3.500
3.500 3.500 0.000
Al Ni Ru
4 1 1
direct
0.125 0.125 0.125
0.125 0.125 0.625
0.125 0.625 0.125
0.625 0.125 0.125
0.750 0.750 0.750
0.500 0.500 0.500



*x*
Al4NiRu, optimized geometry, DFT PBE-GGA; calculated volume = 97 Å³/cell; total moment = 0.0 μB per cell; space group = No. 123
1.0
4.081 0.000 0.000
0.000 4.081 0.000
0.000 0.000 5.816
Al Ni Ru
4 1 1
direct
0.000 0.500 0.243
0.000 0.500 0.757
0.500 0.000 0.243
0.500 0.000 0.757
0.000 0.000 0.000
0.500 0.500 0.500



Last place for stability: *w*



*w*
Al3NiRu, optimized geometry, DFT PBE-GGA; calculated volume = 81 Å³/cell; total moment = 0.0 μB per cell; space group = No. 221
1.0
4.324 0.000 0.000
0.000 4.324 0.000
0.000 0.000 4.324
Al Ni Ru
3 1 1
direct
0.000 0.000 0.500
0.000 0.500 0.000
0.500 0.000 0.000
0.000 0.000 0.000
0.500 0.500 0.500



*x*
Al3NiRu, optimized geometry, DFT PBE-GGA; calculated volume = 97 Å³/cell; total moment = 0.2 μB per cell; space group = No. 221
1.0
4.601 0.000 0.000
0.000 4.601 0.000
0.000 0.000 4.601
Al Ni Ru
3 1 1
direct
0.000 0.000 0.500
0.000 0.500 0.000
0.500 0.000 0.000
0.500 0.500 0.500
0.000 0.000 0.000



Last place for stability: *x*



*w*
AlNi2Ru2, optimized geometry, DFT PBE-GGA; calculated volume = 132 Å³/cell; total moment = 3.5 μB per cell; space group = No. 127
1.0
5.890 0.000 0.000
0.000 5.890 0.000
0.000 0.000 3.793
Al Ni Ru
2 4 4
direct
0.000 0.000 0.000
0.500 0.500 0.000
0.136 0.364 0.000
0.364 0.864 0.000
0.636 0.136 0.000
0.864 0.636 0.000
0.164 0.664 0.500
0.336 0.164 0.500
0.664 0.836 0.500
0.836 0.336 0.500



*x*
AlNi2Ru2, optimized geometry, DFT PBE-GGA; calculated volume = 138 Å³/cell; total moment = 0.0 μB per cell; space group = No. 127
1.0
6.459 0.000 0.000
0.000 6.459 0.000
0.000 0.000 3.315
Al Ni Ru
2 4 4
direct
0.000 0.000 0.000
0.500 0.500 0.000
0.164 0.336 0.500
0.336 0.836 0.500
0.664 0.164 0.500
0.836 0.664 0.500
0.135 0.635 0.000
0.365 0.135 0.000
0.635 0.865 0.000
0.865 0.365 0.000



Last place for stability: *x*



*w*
AlNi3Ru, optimized geometry, DFT PBE-GGA; calculated volume = 74 Å³/cell; total moment = 2.9 μB per cell; space group = No. 221
1.0
4.190 0.000 0.000
0.000 4.190 0.000
0.000 0.000 4.190
Al Ni Ru
1 3 1
direct
0.000 0.000 0.000
0.000 0.000 0.500
0.000 0.500 0.000
0.500 0.000 0.000
0.500 0.500 0.500



*x*
AlNi3Ru, optimized geometry, DFT PBE-GGA; calculated volume = 89 Å³/cell; total moment = 0.0 μB per cell; space group = No. 221
1.0
4.458 0.000 0.000
0.000 4.458 0.000
0.000 0.000 4.458
Al Ni Ru
1 3 1
direct
0.000 0.000 0.000
0.000 0.500 0.500
0.500 0.000 0.500
0.500 0.500 0.000
0.500 0.500 0.500



Last place for stability: *x*



*w*
ScAlNiRu, optimized geometry, DFT PBE-GGA; calculated volume = 58 Å³/cell; total moment = 0.0 μB per cell; space group = No. 216
1.0
0.000 3.071 3.071
3.071 0.000 3.071
3.071 3.071 0.000
Sc Al Ni Ru
1 1 1 1
direct
0.000 0.000 0.000
0.500 0.500 0.500
0.250 0.250 0.250
0.750 0.750 0.750



*x*
ScAlNiRu, optimized geometry, DFT PBE-GGA; calculated volume = 58 Å³/cell; total moment = 0.0 μB per cell; space group = No. 47
1.0
3.195 0.000 0.000
0.000 4.258 0.000
0.000 0.000 4.262
Sc Al Ni Ru
1 1 1 1
direct
0.000 0.000 0.000
0.000 0.500 0.500
0.500 0.500 0.000
0.500 0.000 0.500



Last place for stability: *w*



*w*
AlNi3S, optimized geometry, DFT PBE-GGA; calculated volume = 79 Å³/cell; total moment = 0.0 μB per cell; space group = No. 221
1.0
4.297 0.000 0.000
0.000 4.297 0.000
0.000 0.000 4.297
Al Ni S
1 3 1
direct
0.000 0.000 0.000
0.000 0.000 0.500
0.000 0.500 0.000
0.500 0.000 0.000
0.500 0.500 0.500



*x*
AlNi3S, optimized geometry, DFT PBE-GGA; calculated volume = 71 Å³/cell; total moment = 0.0 μB per cell; space group = No. 221
1.0
4.133 0.000 0.000
0.000 4.133 0.000
0.000 0.000 4.133
Al Ni S
1 3 1
direct
0.000 0.000 0.000
0.000 0.500 0.500
0.500 0.000 0.500
0.500 0.500 0.000
0.500 0.500 0.500



Last place for stability: *w*